# HfZr2InIr

A relaxed structure of HfZr2InIr (PBE-GGA, the Alexandria database).

```
HfZr2InIr
1.0
-3.869 -3.043 0.658
2.838 -2.896 3.293
-1.553 2.797 3.798
In Hf Zr Ir
1 1 2 1
Cartesian
1.419 -1.448 1.647 In
0.000 0.000 0.000 Hf
-1.935 -1.521 0.329 Zr
-0.777 1.399 1.899 Zr
-1.292 -1.571 3.875 Ir
```

As for the energy relative to the elements: 1.4268 eV per atom. The magnetization is 0.2 μB/cell.